[1]
Below is an optimized crystal structure of TaZnRe2, with properties calculated at the PBE level.

## Properties
Its density of states at the Fermi level is 2.85 states/eV/cell. The final energy is -9.42 eV per atom. As for the space group: Immm, No. 71. The formation energy is 0.09 eV/atom.

Unit cell a=5.1919 b=5.1919 c=5.1919 alpha=144.42 beta=128.99 gamma=63.74
Closest atoms and distances in Å follow each position.
Fractional positions:
Re1 0.9932 0.9932 0.0000  2 Ta 2.67, 4 Re 2.74, 2 Zn 2.76
Re2 0.5068 0.5068 0.0000  2 Ta 2.67, 4 Re 2.74, 2 Zn 2.76
Ta1 0.7500 0.2500 0.5000  4 Re 2.67, 4 Zn 2.74
Zn1 0.2500 0.7500 0.5000  4 Ta 2.74, 4 Re 2.76


[2]
Below is an optimized crystal structure of AgRuAu2, with properties calculated at the PBE level.

## Properties
For the energy above the most stable polymorph in this dataset, the calculation gives 0.0 kJ per mole of atoms. Its density of states at the Fermi level is 2.26 states/eV/cell. The final energy is -4.42 eV per atom. As for the space group: P4/mmm, No. 123. The formation energy is 0.25 eV/atom.

Unit cell a=2.8355 b=2.8355 c=8.4530 alpha=90.00 beta=90.00 gamma=90.02
Closest atoms and distances in Å follow each position.
Fractional positions:
Ag1 0.5000 0.5000 0.7500  4 Ag 2.84, 8 Au 2.97
Au1 0.0000 0.0000 0.0095  4 Au 2.84, 4 Ru 2.85-2.86, 4 Ag 2.97
Au2 0.0000 0.0000 0.4905  4 Au 2.84, 4 Ru 2.85-2.86, 4 Ag 2.97
Ru1 0.5000 0.5000 0.2500  4 Ru 2.84, 8 Au 2.85-2.86


[3]
Below is an optimized crystal structure of Be2InW, with properties calculated at the PBE level.

## Properties
Its density of states at the Fermi level is 1.34 states/eV/cell. The final energy is -5.40 eV per atom. As for the space group: Cm, No. 8. The formation energy is 0.39 eV/atom.

Unit cell a=4.9018 b=4.9018 c=4.3482 alpha=72.07 beta=72.07 gamma=33.57
Closest atoms and distances in Å follow each position.
Fractional positions:
Be1 0.0171 0.0171 0.0354  2 Be 2.42, 4 In 2.56-2.65, 3 W 2.61-2.66
Be2 0.7240 0.7240 0.7345  2 Be 2.42, 4 W 2.57-2.68, 1 In 2.60
W1 0.2700 0.2700 0.1870  7 Be 2.57-2.68, 2 W 2.83
In1 0.4890 0.4890 0.5431  7 Be 2.56-2.75, 2 In 2.83


[4]
Below is an optimized crystal structure of ZrTaCr2, with properties calculated at the PBE level.

## Properties
For the energy above the most stable polymorph in this dataset, the calculation gives 33.7 kJ per mole of atoms. Its density of states at the Fermi level is 5.13 states/eV/cell. The final energy is -9.42 eV per atom. As for the space group: P2/m, No. 10. The formation energy is 0.49 eV/atom.

Unit cell a=2.8509 b=4.8888 c=5.1407 alpha=66.67 beta=90.00 gamma=90.00
Closest atoms and distances in Å follow each position.
Fractional positions:
Cr1 0.0000 0.0000 0.0000  2 Zr 2.57, 4 Ta 2.83, 2 Cr 2.85
Cr2 0.5000 0.5000 0.5000  2 Ta 2.57, 4 Zr 2.83, 2 Cr 2.85
Ta1 0.5000 0.5000 0.0000  6 Cr 2.57-2.83, 2 Ta 2.85
Zr1 0.0000 0.0000 0.5000  6 Cr 2.57-2.83, 2 Zr 2.85


Q: Among the records above, which one has the highest final energy?
A: AgRuAu2